(1)
A geometry-optimized LaW2Br structure, computed with PBEsol.

The space group is R-3m (No. 166, hexagonal axes) and the conventional cell measures 2.9686, 2.9686 and 30.2507 Å, with angles of 90.00, 90.00 and 120.00 degrees. The inequivalent atoms are La at (0.0000, 0.0000, 0.0000), W at (0.0000, 0.0000, 0.2382) and Br at (0.0000, 0.0000, 0.5000).

For the density of states at the Fermi level, the calculation gives 4.20 states/eV/f.u. Its crystal system is trigonal. The calculation puts the energy above the most stable polymorph in this dataset at 695 meV per atom. The mass density is 12.655 g cm⁻³. Its total energy is -7.66 eV/atom.

---

(2)
A geometry-optimized LaW2Br structure, computed with PBEsol.

The space group is Cmmm (No. 65) and the conventional cell measures 3.005, 5.221 and 9.865 Å, with angles of 90.00, 90.00 and 90.00 degrees. The inequivalent atoms are La at (0.000, 0.000, 0.000), W at (0.000, 0.500, 0.269) and Br at (0.000, 0.000, 0.500).

For the density of states at the Fermi level, the calculation gives 3.89 states/eV/f.u. Its crystal system is orthorhombic. The calculation puts the energy above the most stable polymorph in this dataset at 775 meV per atom. The mass density is 12.586 g cm⁻³. Its total energy is -7.58 eV/atom.

---

(3)
A geometry-optimized LaWBr2 structure, computed with PBEsol.

The space group is Cmmm (No. 65) and the conventional cell measures 3.222, 5.871 and 9.348 Å, with angles of 90.00, 90.00 and 90.00 degrees. The inequivalent atoms are La at (0.000, 0.000, 0.000), W at (0.000, 0.000, 0.500) and Br at (0.000, 0.500, 0.283).

For the density of states at the Fermi level, the calculation gives 3.95 states/eV/f.u. Its crystal system is orthorhombic. The calculation puts the energy above the most stable polymorph in this dataset at 50 meV per atom. The mass density is 9.063 g cm⁻³. Its total energy is -5.39 eV/atom.

---

(4)
A geometry-optimized LaW2Br structure, computed with PBEsol.

The space group is P2/m (No. 10) and the conventional cell measures 3.278, 5.766 and 4.745 Å, with angles of 90.00, 90.81 and 90.00 degrees. The inequivalent atoms are La at (0.000, 0.000, 0.000), W at (0.259, 0.500, 0.194) and Br at (0.500, 0.000, 0.500).

For the density of states at the Fermi level, the calculation gives 3.73 states/eV/f.u. Its crystal system is monoclinic. The calculation puts the energy above the most stable polymorph in this dataset at 231 meV per atom. The mass density is 10.861 g cm⁻³. Its total energy is -8.12 eV/atom.

---

Number 1: E_form (uncorrected) 24.1 kcal/mol of atoms. Number 2: E_form (uncorrected) 26.0 kcal/mol of atoms. Number 3: E_form (uncorrected) 7.6 kcal/mol of atoms. Number 4: E_form (uncorrected) 13.5 kcal/mol of atoms.